## CsVO2F (GGA+U)

Data for crystalline CsVO2F at its relaxed geometry.

Lattice parameters (Å, degrees): 3.9315 3.9315 4.6158 90.00 90.00 90.00
Space group P4/mmm (No. 123)
One atom of each set of equivalent atoms:
Cs1 0.0000 0.0000 0.0000 (multiplicity 1)
V1 0.5000 0.5000 0.5000 (multiplicity 1)
O1 0.0000 0.5000 0.5000 (multiplicity 2)
F1 0.5000 0.5000 0.0000 (multiplicity 1)

Properties
N(E_F): 0.0151 states/eV/atom
Final energy: -5.942 eV/atom